Crystalline TcSe2Br at its relaxed geometry, computed with GGA-PBEsol.

Energy in Ha/atom: -0.205
Symmetry: No. 12
Volume in Å³/f.u.: 88.2

Cell and atoms, written as extended XYZ:
```
8
Lattice="6.6278 -1.6411 0.0000 6.6278 1.6411 0.0000 -5.7254 0.0000 8.1055" Properties=species:S:1:pos:R:3 pbc="T T T"
Tc 2.5954 0.0000 0.8790
Tc 4.9347 0.0000 7.2264
Se -3.4133 0.0000 6.5913
Se 0.3211 0.0000 7.0438
Se 7.2091 0.0000 1.0617
Se 10.9434 0.0000 1.5141
Br 1.9862 0.0000 3.3421
Br 5.5439 0.0000 4.7633
```